No. 1
A plane-wave DFT calculation with PBE-GGA was carried out for an optimized crystal structure of KSrSeBr2.

Cell: 5.7593 5.7593 5.8430 Å, 90.00 90.00 90.00°
Closest atoms and distances in Å follow each position.
Fractional positions:
K: 0.0000 0.0000 0.0000  4 Br 2.88, 2 Se 2.92
Sr: 0.5000 0.5000 0.5000  4 Se 4.07, 8 Br 4.10
Se: 0.0000 0.0000 0.5000  2 K 2.92
Br: 0.0000 0.5000 0.0000  2 K 2.88
Br: 0.5000 0.0000 0.0000  2 K 2.88

Values from the calculation:
- Space-group type: P4/mmm, No. 123
- Calculated density: 3.13 Mg/m³
- Magnetic moment: 0.2059 μB/atom
- Formation energy without anion corrections: -0.907 eV per atom
- ΔE to the lowest computed polymorph: 231 kJ/mol of formula units

=====

No. 2
A plane-wave DFT calculation with PBE-GGA was carried out for an optimized crystal structure of Pm5DyAl6.

Cell: 9.0204 9.0204 9.0204 Å, 146.43 131.81 60.01°
Closest atoms and distances in Å follow each position.
Fractional positions:
Pm: 0.0000 0.0000 0.0000  8 Al 3.18-3.24
Pm: 0.1646 0.6646 0.5000  8 Al 3.21-3.22
Pm: 0.3296 0.3296 0.0000  8 Al 3.17-3.20
Pm: 0.6704 0.6704 0.0000  8 Al 3.17-3.20
Pm: 0.8354 0.3354 0.5000  8 Al 3.21-3.22
Dy: 0.5000 0.0000 0.5000  8 Al 3.13-3.14
Al: 0.0916 0.8358 0.2557  1 Dy 3.13, 7 Pm 3.17-3.22
Al: 0.2613 0.5000 0.7613  2 Dy 3.14, 6 Pm 3.19-3.24, 1 Al 3.52
Al: 0.4199 0.1642 0.2557  1 Dy 3.13, 7 Pm 3.17-3.22
Al: 0.5801 0.8358 0.7443  1 Dy 3.13, 7 Pm 3.17-3.22
Al: 0.7387 0.5000 0.2387  2 Dy 3.14, 6 Pm 3.19-3.24, 1 Al 3.52
Al: 0.9084 0.1642 0.7443  1 Dy 3.13, 7 Pm 3.17-3.22

Values from the calculation:
- Space-group type: Immm, No. 71
- Calculated density: 5.81 Mg/m³
- Magnetic moment: 0.0000 μB/atom
- Energy of formation: -373 meV/atom

=====

No. 3
A plane-wave DFT calculation with PBE-GGA was carried out for an optimized crystal structure of La2BiPb2.

Cell: 8.6201 8.6201 4.7816 Å, 90.00 90.00 90.00°
Closest atoms and distances in Å follow each position.
Fractional positions:
La: 0.1718 0.3282 0.0000  2 Bi 3.19, 6 Pb 3.41-3.54
La: 0.3282 0.8282 0.0000  2 Bi 3.19, 6 Pb 3.41-3.54
La: 0.6718 0.1718 0.0000  2 Bi 3.19, 6 Pb 3.41-3.54
La: 0.8282 0.6718 0.0000  2 Bi 3.19, 6 Pb 3.41-3.54
Bi: 0.0000 0.0000 0.0000  4 La 3.19
Bi: 0.5000 0.5000 0.0000  4 La 3.19
Pb: 0.1287 0.6287 0.5000  1 Pb 3.14, 2 La 3.41
Pb: 0.3713 0.1287 0.5000  1 Pb 3.14, 2 La 3.41
Pb: 0.6287 0.8713 0.5000  1 Pb 3.14, 2 La 3.41
Pb: 0.8713 0.3713 0.5000  1 Pb 3.14, 2 La 3.41

Values from the calculation:
- Space-group type: P4/mbm, No. 127
- Calculated density: 8.42 Mg/m³
- Magnetic moment: 0.0000 μB/atom
- ΔE to the lowest computed polymorph: 32 kJ/mol of formula units
- Energy of formation: -508 meV/atom

=====

The calculation returns the following Fermi-level density of states values, one per record and in order: 3.94; 4.10; 5.93 states/eV/cell.